A relaxed structure of Li3DyBi2, computed with PBE.

Cell lengths 4.3951, 9.1891, 10.9681 Å; angles 101.02, 90.00, 103.84 degrees
Last column: nearest neighbours and their distance in Å.
Sites, in units of the cell vectors:
Bi 0.3570 0.7140 0.5001  4 Li 2.55-2.77
Dy 0.1695 0.3391 0.7226  6 Bi 3.25-3.39, 4 Li 3.58-3.61
Bi 0.4535 0.9069 0.1917  4 Li 2.81-3.04
Li 0.3802 0.7603 0.7699  4 Bi 2.80-2.92, 5 Li 2.94-3.14
Bi 0.5465 0.0931 0.8083  4 Li 2.81-3.04
Li 0.5000 0.0000 0.5000  2 Bi 2.55
Bi 0.1931 0.3862 0.1466  6 Li 2.79-2.89
Bi 0.8069 0.6138 0.8534  6 Li 2.79-2.89
Li 0.6828 0.3656 0.9877  4 Bi 2.79-2.89, 1 Li 3.08
Li 0.0466 0.0931 0.3416  5 Li 2.83-3.02, 4 Bi 3.04-3.10
Li 0.6198 0.2397 0.2301  4 Bi 2.80-2.92, 5 Li 2.94-3.14
Bi 0.6430 0.2860 0.4999  4 Li 2.55-2.77
Dy 0.0000 0.0000 0.0000  6 Bi 3.26-3.50
Li 0.3172 0.6344 0.0123  4 Bi 2.79-2.89, 1 Li 3.08
Li 0.7920 0.5841 0.5938  4 Bi 2.66-2.81, 1 Li 2.83
Dy 0.8305 0.6609 0.2774  6 Bi 3.25-3.39, 4 Li 3.58-3.61
Li 0.2080 0.4159 0.4062  4 Bi 2.66-2.81, 1 Li 2.83
Li 0.9534 0.9069 0.6584  5 Li 2.83-3.02, 4 Bi 3.04-3.10

Computed properties:
**Space group**: No. 12
**Size of the total moment**: 0.000 μB/atom
**Energy relative to the elements**: -557 meV per atom
**ρ**: 7.10 g cm⁻³

***

A relaxed structure of BAu, computed with PBE.

Cell lengths 6.6620, 6.6620, 2.7844 Å; angles 90.00, 90.00, 90.00 degrees
Last column: nearest neighbours and their distance in Å.
Sites, in units of the cell vectors:
Au 0.2376 0.7624 0.5000  4 B 2.16-2.38
Au 0.7624 0.2376 0.5000  4 B 2.16-2.38
B 0.4131 0.5869 0.0000  1 B 1.64
B 0.5869 0.4131 0.0000  1 B 1.64
B 0.0869 0.0869 0.5000  1 B 1.64
B 0.9131 0.9131 0.5000  1 B 1.64
Au 0.2624 0.2624 0.0000  4 B 2.16-2.38
Au 0.7376 0.7376 0.0000  4 B 2.16-2.38

Computed properties:
**Space group**: No. 136
**Size of the total moment**: 0.000 μB/atom
**Energy relative to the elements**: 478 meV per atom
**ρ**: 11.17 g cm⁻³

***

A relaxed structure of CaPr4Tm3S8, computed with PBE.

Cell lengths 7.8766, 8.1135, 7.8773 Å; angles 119.04, 120.00, 90.00 degrees
Last column: nearest neighbours and their distance in Å.
Sites, in units of the cell vectors:
Pr 0.5000 0.0000 0.0000  6 S 2.90
Tm 0.5000 0.5000 0.5000  6 S 2.73
S 0.2623 0.2729 0.0176  2 Tm 2.73, 1 Ca 2.77, 3 Pr 2.90-2.93
S 0.7553 0.2729 0.0176  2 Tm 2.73, 1 Ca 2.77, 3 Pr 2.90-2.93
S 0.7553 0.2729 0.5106  2 Tm 2.73, 1 Ca 2.77, 3 Pr 2.90-2.93
Pr 0.5000 0.0000 0.5000  6 S 2.93
S 0.2585 0.2756 0.5170  3 Tm 2.73, 3 Pr 2.93
Ca 0.0000 0.5000 0.0000  6 S 2.77
Tm 0.5000 0.5000 0.0000  6 S 2.73
Pr 0.0000 0.0000 0.5000  6 S 2.93
S 0.2447 0.7271 0.4894  2 Tm 2.73, 1 Ca 2.77, 3 Pr 2.90-2.93
S 0.7415 0.7244 0.4830  3 Tm 2.73, 3 Pr 2.93
Tm 0.0000 0.5000 0.5000  6 S 2.73
S 0.2447 0.7271 0.9824  2 Tm 2.73, 1 Ca 2.77, 3 Pr 2.90-2.93
Pr 0.0000 0.0000 0.0000  6 S 2.93
S 0.7377 0.7271 0.9824  2 Tm 2.73, 1 Ca 2.77, 3 Pr 2.90-2.93

Computed properties:
**Space group**: No. 166
**Size of the total moment**: 0.000 μB/atom
**Formation energy without anion corrections**: -2.00 eV/atom
**ρ**: 6.29 g cm⁻³

***

A relaxed structure of Dy4As2SeS, computed with PBE.

Cell lengths 4.0675, 7.0171, 7.0499 Å; angles 70.37, 90.00, 90.00 degrees
Last column: nearest neighbours and their distance in Å.
Sites, in units of the cell vectors:
Dy 0.5000 0.7527 0.2543  3 As 2.83-2.88, 2 S 2.87, 1 Se 2.91
Se 0.5000 0.5000 0.0000  6 Dy 2.91
As 0.5000 0.0000 0.5000  6 Dy 2.83
Dy 0.5000 0.2473 0.7457  3 As 2.83-2.88, 2 S 2.87, 1 Se 2.91
S 0.0000 0.5000 0.5000  6 Dy 2.87
Dy 0.0000 0.2432 0.2577  3 As 2.83-2.88, 1 S 2.87, 2 Se 2.91
Dy 0.0000 0.7568 0.7423  3 As 2.83-2.88, 1 S 2.87, 2 Se 2.91
As 0.0000 0.0000 0.0000  6 Dy 2.88

Computed properties:
**Space group**: No. 10
**Size of the total moment**: 0.000 μB/atom
**Formation energy without anion corrections**: -1.74 eV/atom
**ρ**: 7.98 g cm⁻³

***

A relaxed structure of KGa3Ge3, computed with PBE.

Cell lengths 4.3034, 10.1289, 10.1265 Å; angles 120.01, 90.00, 90.00 degrees
Last column: nearest neighbours and their distance in Å.
Sites, in units of the cell vectors:
Ge 0.7500 0.6725 0.0767  4 Ga 2.52-2.73
Ga 0.7500 0.9281 0.3288  4 Ge 2.52-2.73
Ge 0.2500 0.0766 0.4039  4 Ga 2.52-2.73
K 0.7500 0.3333 0.6666  6 Ge 3.40, 6 Ga 3.43
Ga 0.2500 0.3287 0.4006  4 Ge 2.52-2.73
Ga 0.7500 0.6713 0.5994  4 Ge 2.52-2.73
Ge 0.7500 0.9234 0.5961  4 Ga 2.52-2.73
Ge 0.2500 0.5960 0.6726  4 Ga 2.52-2.73
Ge 0.2500 0.3275 0.9233  4 Ga 2.52-2.73
Ga 0.2500 0.0719 0.6712  4 Ge 2.52-2.73
Ga 0.7500 0.4008 0.0719  4 Ge 2.52-2.73
K 0.2500 0.6667 0.3334  6 Ge 3.40, 6 Ga 3.43
Ga 0.2500 0.5992 0.9281  4 Ge 2.52-2.73
Ge 0.7500 0.4040 0.3274  4 Ga 2.52-2.73

Computed properties:
**E above lowest polymorph**: 40 kJ/mol of formula units
**Space group**: No. 176
**Size of the total moment**: 0.000 μB/atom
**Energy relative to the elements**: 11 meV per atom
**ρ**: 4.05 g cm⁻³

***

A relaxed structure of Ca3Tl4Pb, computed with PBE.

Cell lengths 5.5489, 7.7655, 11.0946 Å; angles 90.00, 90.00, 90.00 degrees
Last column: nearest neighbours and their distance in Å.
Sites, in units of the cell vectors:
Tl 0.0001 0.7477 0.2500  2 Pb 3.38, 6 Ca 3.38-3.40
Tl 0.9999 0.2523 0.7500  2 Pb 3.38, 6 Ca 3.38-3.40
Tl 0.5000 0.2523 0.5000  6 Ca 3.38-3.40, 2 Pb 3.38
Tl 0.5000 0.7477 0.0000  6 Ca 3.38-3.40, 2 Pb 3.38
Tl 0.9999 0.7477 0.7500  2 Pb 3.38, 6 Ca 3.38-3.40
Ca 0.4999 0.5000 0.7500  8 Tl 3.38
Pb 0.0000 0.5000 0.5000  8 Tl 3.38
Ca 0.0000 0.0000 0.5000  8 Tl 3.40
Tl 0.0001 0.2523 0.2500  2 Pb 3.38, 6 Ca 3.38-3.40
Tl 0.5000 0.7477 0.5000  6 Ca 3.38-3.40, 2 Pb 3.38
Pb 0.0000 0.5000 0.0000  8 Tl 3.38
Ca 0.0000 0.0000 0.0000  8 Tl 3.40
Ca 0.4999 0.0000 0.7500  8 Tl 3.40
Ca 0.5001 0.5000 0.2500  8 Tl 3.38
Tl 0.5000 0.2523 0.0000  6 Ca 3.38-3.40, 2 Pb 3.38
Ca 0.5001 0.0000 0.2500  8 Tl 3.40

Computed properties:
**Space group**: No. 123
**Size of the total moment**: 0.000 μB/atom
**Energy relative to the elements**: -329 meV per atom
**ρ**: 7.95 g cm⁻³

***

A relaxed structure of Sr3TcSe, computed with PBE.

Cell lengths 5.5656, 5.5656, 5.5656 Å; angles 90.00, 90.00, 90.00 degrees
Last column: nearest neighbours and their distance in Å.
Sites, in units of the cell vectors:
Tc 0.0000 0.0000 0.0000  6 Sr 2.78
Sr 0.0000 0.0000 0.5000  2 Tc 2.78
Sr 0.5000 0.0000 0.0000  2 Tc 2.78
Sr 0.0000 0.5000 0.0000  2 Tc 2.78
Se 0.5000 0.5000 0.5000  12 Sr 3.94

Computed properties:
**E above lowest polymorph**: 0 kJ/mol of formula units
**Space group**: No. 221
**Size of the total moment**: 0.000 μB/atom
**Formation energy without anion corrections**: 0.12 eV/atom
**ρ**: 4.24 g cm⁻³

***

A relaxed structure of Th2PaH8, computed with PBE.

Cell lengths 3.4948, 6.3310, 6.3524 Å; angles 119.89, 105.97, 90.00 degrees
Last column: nearest neighbours and their distance in Å.
Sites, in units of the cell vectors:
H 0.6613 0.4102 0.3225  1 Pa 2.31, 7 H 2.35-2.55, 3 Th 2.36-2.39
H 0.1595 0.1594 0.3189  8 H 2.28-2.46, 2 Pa 2.41, 2 Th 2.52
Th 0.8328 0.3328 0.6655  10 H 2.36-2.52
H 0.0000 0.2460 0.0000  6 H 2.28-2.43, 2 Pa 2.34, 2 Th 2.37
H 0.8405 0.8406 0.6811  8 H 2.28-2.46, 2 Pa 2.41, 2 Th 2.52
H 0.6613 0.9123 0.3225  1 Pa 2.31, 7 H 2.35-2.55, 3 Th 2.36-2.39
H 0.0000 0.7540 0.0000  6 H 2.28-2.43, 2 Pa 2.34, 2 Th 2.37
H 0.3387 0.0877 0.6775  1 Pa 2.31, 7 H 2.35-2.55, 3 Th 2.36-2.39
H 0.3387 0.5898 0.6775  1 Pa 2.31, 7 H 2.35-2.55, 3 Th 2.36-2.39
Pa 0.5000 0.0000 0.0000  12 H 2.31-2.41
Th 0.1672 0.6672 0.3345  10 H 2.36-2.52

Computed properties:
**Space group**: No. 71
**VASP energy**: -5.04 eV per atom
**Size of the total moment**: 0.126 μB/atom
**ρ**: 10.10 g cm⁻³